# Si2RuBr | the Alexandria database | PBE-GGA | optimized geometry
# Energy in eV/atom: -4.7295
data_Si2RuBr
_cell_length_a 2.9858
_cell_length_b 4.4980
_cell_length_c 4.7692
_cell_angle_alpha 90.00
_cell_angle_beta 90.00
_cell_angle_gamma 90.00
_symmetry_space_group_name_H-M 'P m m m'
_symmetry_Int_Tables_number 47
_symmetry_space_group_name_Hall '-P 2 2'
loop_
_atom_site_label
_atom_site_fract_x
_atom_site_fract_y
_atom_site_fract_z
Si1 0.0000 0.0000 0.0000
Si2 0.5000 0.5000 0.0000
Ru1 0.0000 0.5000 0.5000
Br1 0.5000 0.0000 0.5000